Density functional theory data (PBE) for a geometry-optimized Mg15B structure.

Geometry as extended XYZ:
```
16
Lattice="-2.984 4.163 -3.675 2.939 -4.945 -2.580 -8.357 -5.347 0.729" Properties=species:S:1:pos:R:3 pbc="T T T"
Mg 0.057 -4.720 -2.588
Mg -2.718 -5.136 -0.953
Mg -1.500 1.675 -4.918
Mg -7.262 -2.873 -2.765
Mg -2.740 -5.521 -4.029
Mg -4.185 -3.090 -2.761
Mg -5.985 -5.435 -4.102
Mg -1.491 -2.560 -4.494
Mg -4.437 -7.594 -2.196
Mg -3.115 -0.220 -3.127
Mg -0.051 -0.348 -3.133
Mg -4.179 -2.673 0.364
Mg -1.478 2.055 -1.880
Mg -1.468 -2.155 -1.249
Mg -5.961 -5.030 -0.857
B 0.000 0.000 0.000
```

- D(E_F): 7.86 states/eV per cell
- Formation energy: 0.18 eV per atom
- SG: P-6m2 (187)
- VASP energy: -0.06367 Ha/atom